Ta2MnBeO: optimized geometry, GGA+U.

Unit cell a=4.395 b=4.395 c=4.169 alpha=90.00 beta=90.00 gamma=90.00
Space group P4/mmm (No. 123)
Asymmetric unit:
Ta: 0.000 0.500 0.000 (multiplicity 2)
Mn: 0.000 0.000 0.500 (multiplicity 1)
Be: 0.000 0.000 0.000 (multiplicity 1)
O: 0.500 0.500 0.500 (multiplicity 1)

Output
Its density of states at the Fermi level is 0.99 states/eV per atom. For the total energy, the calculation gives -6.861 eV per atom.